# YTl3

YTl3 after structural relaxation (PBE, the Alexandria database).

SG	Cmmm, No. 65
ΔE_f	-0.029	eV/atom
magnetization	0.00	μB/f.u.
total DFT energy (no corrections)	-3.419	eV per atom

Lattice parameters (Å, degrees): 3.5130 3.5130 10.7986 90.00 90.00 115.86
Closest atoms and distances in Å follow each position.
Element x y z (fractional)
Y (0.0000, 0.0000, 0.0000)  4 Tl 3.25, 4 Y 3.51
Tl (0.0000, 0.0000, 0.5000)  8 Tl 3.31-3.51
Tl (0.5000, 0.5000, 0.2463)  2 Y 3.25, 6 Tl 3.31-3.51
Tl (0.5000, 0.5000, 0.7537)  2 Y 3.25, 6 Tl 3.31-3.51